(1)
Below is an optimized crystal structure of Tb2AlZn4Au3, with properties calculated at the PBE level.

It has space group P-4m2 (No. 115), with a = 4.0637 Å, b = 4.0637 Å, c = 11.7932 Å, α = 90.00°, β = 90.00° and γ = 90.00°. The asymmetric unit holds Tb at (0.0000, 0.5000, 0.2444), Al at (0.5000, 0.5000, 0.0000), Zn at (0.0000, 0.0000, 0.5000), Zn at (0.0000, 0.5000, 0.8615), Zn at (0.5000, 0.5000, 0.5000), Au at (0.0000, 0.0000, 0.0000) and Au at (0.0000, 0.5000, 0.6463).

Its electronic total energy is -3.302 eV per atom. Its calculated formation energy is -0.509 eV per atom. Its crystal system is tetragonal.

(2)
Below is an optimized crystal structure of LiCoAg2, with properties calculated at the PBE level.

It has space group Immm (No. 71), with a = 2.8623 Å, b = 4.7771 Å, c = 9.1671 Å, α = 90.00°, β = 90.00° and γ = 90.00°. The asymmetric unit holds Li at (0.0000, 0.0000, 0.0000), Co at (0.0000, 0.0000, 0.5000) and Ag at (0.0000, 0.5000, 0.2452).

Its electronic total energy is -3.402 eV per atom. Its calculated formation energy is 0.278 eV per atom. Its crystal system is orthorhombic.

(3)
Below is an optimized crystal structure of Hf7InBi2, with properties calculated at the PBE level.

It has space group Cmmm (No. 65), with a = 8.1248 Å, b = 14.8292 Å, c = 4.8310 Å, α = 90.00°, β = 90.00° and γ = 90.00°. The asymmetric unit holds Hf at (0.0000, 0.0000, 0.0000), Hf at (0.0000, 0.3008, 0.5000), Hf at (0.1744, 0.3934, 0.0000), In at (0.0000, 0.5000, 0.5000) and Bi at (0.0000, 0.1959, 0.0000).

Its electronic total energy is -7.351 eV per atom. Its calculated formation energy is 0.666 eV per atom. Its crystal system is orthorhombic.

(4)
Below is an optimized crystal structure of BaTl3In, with properties calculated at the PBE level.

It has space group Pbam (No. 55), with a = 7.8542 Å, b = 7.8649 Å, c = 6.2308 Å, α = 90.00°, β = 90.00° and γ = 90.00°. The asymmetric unit holds Ba at (0.0000, 0.0000, 0.0000), Tl at (0.0000, 0.5000, 0.0000), Tl at (0.1581, 0.1584, 0.5000) and In at (0.0000, 0.5000, 0.5000).

Its electronic total energy is -2.373 eV per atom. Its calculated formation energy is -0.021 eV per atom. Its crystal system is orthorhombic.

(5)
Below is an optimized crystal structure of AlRhSe3, with properties calculated at the PBE level.

It has space group Pm-3m (No. 221), with a = 4.9051 Å, b = 4.9051 Å, c = 4.9051 Å, α = 90.00°, β = 90.00° and γ = 90.00°. The asymmetric unit holds Al at (0.0000, 0.0000, 0.0000), Rh at (0.5000, 0.5000, 0.5000) and Se at (0.0000, 0.5000, 0.5000).

Its electronic total energy is -3.963 eV per atom. For the energy relative to the elements, uncorrected, the calculation gives 346 meV per atom. Its crystal system is cubic.

(6)
Below is an optimized crystal structure of SiSnGeO6, with properties calculated at the PBE level.

It has space group P312 (No. 149), with a = 4.8268 Å, b = 4.8268 Å, c = 4.4520 Å, α = 90.00°, β = 90.00° and γ = 120.00°. The asymmetric unit holds Si at (0.0000, 0.0000, 0.0000), Sn at (0.3333, 0.6667, 0.5000), Ge at (0.6667, 0.3333, 0.0000) and O at (0.3186, 0.0184, 0.2259).

Its electronic total energy is -6.802 eV per atom. For the energy relative to the elements, uncorrected, the calculation gives -1936 meV per atom. Its crystal system is trigonal.

- What is the electronic total energy in the third record?
  -7.351 eV per atom

Please write out number 2 again, unchanged.
Below is an optimized crystal structure of LiCoAg2, with properties calculated at the PBE level.

It has space group Immm (No. 71), with a = 2.8623 Å, b = 4.7771 Å, c = 9.1671 Å, α = 90.00°, β = 90.00° and γ = 90.00°. The asymmetric unit holds Li at (0.0000, 0.0000, 0.0000), Co at (0.0000, 0.0000, 0.5000) and Ag at (0.0000, 0.5000, 0.2452).

Its electronic total energy is -3.402 eV per atom. Its calculated formation energy is 0.278 eV per atom. Its crystal system is orthorhombic.